VASP calculation (PBE-GGA) on a relaxed CaAc2Ag3 crystal.

Output
The energy of formation comes out at -26.8 kJ per mole of atoms. As for the space-group type: P-3m1 (164). The value obtained for the total energy is -40.883 eV per cell. The calculation puts the polymorph energy (0 for the lowest one) at 0.000 eV per atom. As for the crystal system: trigonal.

Cell: 5.516 5.516 13.432 Å, 90.00 90.00 120.00°
Element x y z (fractional)
Ca 0.333 0.667 0.164
Ca 0.667 0.333 0.836
Ac 0.000 0.000 0.000
Ac 0.000 0.000 0.500
Ac 0.333 0.667 0.672
Ac 0.667 0.333 0.328
Ag 0.000 0.000 0.247
Ag 0.000 0.000 0.753
Ag 0.333 0.667 0.414
Ag 0.333 0.667 0.920
Ag 0.667 0.333 0.080
Ag 0.667 0.333 0.586

***

VASP calculation (PBE-GGA) on a relaxed CaAcAg crystal.

Output
The energy of formation comes out at -16.4 kJ per mole of atoms. As for the space-group type: Cmcm (63). The value obtained for the total energy is -18.942 eV per cell. The calculation puts the polymorph energy (0 for the lowest one) at 0.000 eV per atom. As for the crystal system: orthorhombic.

Cell: 7.339 7.339 5.511 Å, 90.00 90.00 136.59°
Element x y z (fractional)
Ca 0.115 0.885 0.750
Ca 0.885 0.115 0.250
Ac 0.389 0.611 0.750
Ac 0.611 0.389 0.250
Ag 0.254 0.746 0.250
Ag 0.746 0.254 0.750

***

VASP calculation (PBE-GGA) on a relaxed Ca5AcAg6 crystal.

Output
The energy of formation comes out at -28.8 kJ per mole of atoms. As for the space-group type: P2/m (10). The value obtained for the total energy is -34.802 eV per cell. As for the crystal system: monoclinic.

Cell: 5.323 7.524 8.394 Å, 90.00 108.36 90.00°
Element x y z (fractional)
Ca 0.000 0.000 0.000
Ca 0.330 0.500 0.659
Ca 0.334 0.000 0.669
Ca 0.666 0.000 0.331
Ca 0.670 0.500 0.341
Ac 0.000 0.500 0.000
Ag 0.169 0.241 0.338
Ag 0.169 0.759 0.338
Ag 0.500 0.242 0.000
Ag 0.500 0.758 0.000
Ag 0.831 0.241 0.662
Ag 0.831 0.759 0.662

***

VASP calculation (PBE-GGA) on a relaxed Ca2AcAg4 crystal.

Output
The energy of formation comes out at -29.0 kJ per mole of atoms. As for the space-group type: Immm (71). The value obtained for the total energy is -21.622 eV per cell. As for the crystal system: orthorhombic.

Cell: 10.403 10.403 10.403 Å, 157.13 153.79 35.06°
Element x y z (fractional)
Ca 0.189 0.189 0.000
Ca 0.811 0.811 0.000
Ac 0.500 0.000 0.500
Ag 0.070 0.570 0.500
Ag 0.351 0.351 0.000
Ag 0.649 0.649 0.000
Ag 0.930 0.430 0.500

***

VASP calculation (PBE-GGA) on a relaxed CaAcAg3 crystal.

Output
The energy of formation comes out at -29.4 kJ per mole of atoms. As for the space-group type: Cmcm (63). The value obtained for the total energy is -32.374 eV per cell. As for the crystal system: orthorhombic.

Cell: 14.161 14.161 4.792 Å, 90.00 90.00 163.33°
Element x y z (fractional)
Ca 0.207 0.793 0.750
Ca 0.793 0.207 0.250
Ac 0.075 0.925 0.250
Ac 0.925 0.075 0.750
Ag 0.322 0.678 0.750
Ag 0.376 0.624 0.250
Ag 0.475 0.525 0.250
Ag 0.525 0.475 0.750
Ag 0.624 0.376 0.750
Ag 0.678 0.322 0.250

***

VASP calculation (PBE-GGA) on a relaxed Ca2Ac2Ag15 crystal.

Output
The energy of formation comes out at -15.2 kJ per mole of atoms. As for the space-group type: R-3m (166). The value obtained for the total energy is -57.978 eV per cell. As for the crystal system: trigonal.

Cell: 7.539 7.539 7.539 Å, 81.68 81.68 81.68°
Element x y z (fractional)
Ca 0.105 0.105 0.105
Ca 0.895 0.895 0.895
Ac 0.356 0.356 0.356
Ac 0.644 0.644 0.644
Ag 0.000 0.000 0.500
Ag 0.000 0.302 0.698
Ag 0.000 0.500 0.000
Ag 0.000 0.698 0.302
Ag 0.156 0.648 0.648
Ag 0.302 0.000 0.698
Ag 0.302 0.698 0.000
Ag 0.352 0.352 0.844
Ag 0.352 0.844 0.352
Ag 0.500 0.000 0.000
Ag 0.648 0.156 0.648
Ag 0.648 0.648 0.156
Ag 0.698 0.000 0.302
Ag 0.698 0.302 0.000
Ag 0.844 0.352 0.352

***

VASP calculation (PBE-GGA) on a relaxed CaAcAg2 crystal.

Output
The energy of formation comes out at -12.1 kJ per mole of atoms. As for the space-group type: R3m (160). The value obtained for the total energy is -12.314 eV per cell. The calculation puts the polymorph energy (0 for the lowest one) at 0.172 eV per atom. As for the crystal system: trigonal.

Cell: 8.371 8.371 8.371 Å, 29.86 29.86 29.86°
Element x y z (fractional)
Ca 0.000 0.000 0.000
Ac 0.829 0.829 0.829
Ag 0.409 0.409 0.409
Ag 0.585 0.585 0.585

***

VASP calculation (PBE-GGA) on a relaxed CaAcAg2 crystal.

Output
The energy of formation comes out at -28.7 kJ per mole of atoms. As for the space-group type: Fm-3m (225). The value obtained for the total energy is -13.002 eV per cell. The calculation puts the polymorph energy (0 for the lowest one) at 0.000 eV per atom. As for the crystal system: cubic.

Cell: 5.441 5.441 5.441 Å, 60.00 60.00 60.00°
Element x y z (fractional)
Ca 0.000 0.000 0.000
Ac 0.500 0.500 0.500
Ag 0.250 0.250 0.250
Ag 0.750 0.750 0.750

***

VASP calculation (PBE-GGA) on a relaxed Ca3AcAg2 crystal.

Output
The energy of formation comes out at -17.9 kJ per mole of atoms. As for the space-group type: C2/m (12). The value obtained for the total energy is -33.861 eV per cell. As for the crystal system: monoclinic.

Cell: 9.777 9.777 10.918 Å, 107.67 107.67 23.95°
Element x y z (fractional)
Ca 0.032 0.032 0.172
Ca 0.315 0.315 0.627
Ca 0.341 0.341 0.011
Ca 0.659 0.659 0.989
Ca 0.685 0.685 0.373
Ca 0.968 0.968 0.828
Ac 0.114 0.114 0.636
Ac 0.886 0.886 0.364
Ag 0.243 0.243 0.212
Ag 0.475 0.475 0.616
Ag 0.525 0.525 0.384
Ag 0.757 0.757 0.788

***

VASP calculation (PBE-GGA) on a relaxed Ca2Ac3Ag3 crystal.

Output
The energy of formation comes out at -17.4 kJ per mole of atoms. As for the space-group type: Immm (71). The value obtained for the total energy is -26.321 eV per cell. As for the crystal system: orthorhombic.

Cell: 12.295 12.295 12.295 Å, 161.70 152.98 32.83°
Element x y z (fractional)
Ca 0.224 0.224 0.000
Ca 0.776 0.776 0.000
Ac 0.000 0.000 0.000
Ac 0.382 0.882 0.500
Ac 0.618 0.118 0.500
Ag 0.118 0.618 0.500
Ag 0.500 0.500 0.000
Ag 0.882 0.382 0.500

***

VASP calculation (PBE-GGA) on a relaxed CaAc2Ag2 crystal.

Output
The energy of formation comes out at -22.7 kJ per mole of atoms. As for the space-group type: P4/mbm (127). The value obtained for the total energy is -34.194 eV per cell. The calculation puts the polymorph energy (0 for the lowest one) at 0.000 eV per atom. As for the crystal system: tetragonal.

Cell: 8.724 8.724 4.348 Å, 90.00 90.00 90.00°
Element x y z (fractional)
Ca 0.000 0.000 0.000
Ca 0.500 0.500 0.000
Ac 0.166 0.334 0.500
Ac 0.334 0.834 0.500
Ac 0.666 0.166 0.500
Ac 0.834 0.666 0.500
Ag 0.128 0.628 0.000
Ag 0.372 0.128 0.000
Ag 0.628 0.872 0.000
Ag 0.872 0.372 0.000

***

VASP calculation (PBE-GGA) on a relaxed Ca3Ac2Ag4 crystal.

Output
The energy of formation comes out at -27.7 kJ per mole of atoms. As for the space-group type: P2_1/c (14). The value obtained for the total energy is -56.427 eV per cell. As for the crystal system: monoclinic.

Cell: 8.431 8.428 8.076 Å, 90.00 108.89 90.00°
Element x y z (fractional)
Ca 0.000 0.000 0.000
Ca 0.000 0.500 0.500
Ca 0.253 0.173 0.754
Ca 0.253 0.327 0.254
Ca 0.747 0.673 0.746
Ca 0.747 0.827 0.246
Ac 0.308 0.674 0.937
Ac 0.308 0.826 0.437
Ac 0.692 0.174 0.563
Ac 0.692 0.326 0.063
Ag 0.008 0.627 0.127
Ag 0.008 0.873 0.627
Ag 0.425 0.037 0.142
Ag 0.425 0.463 0.642
Ag 0.575 0.537 0.358
Ag 0.575 0.963 0.858
Ag 0.992 0.127 0.373
Ag 0.992 0.373 0.873